(1)
# YPt2CF, optimized geometry, DFT GGA-PBE
data_YPt2CF
_symmetry_space_group_name_H-M 'P 1'
_symmetry_Int_Tables_number 1
_symmetry_space_group_name_Hall 'P 1'
_cell_length_a 5.247
_cell_length_b 4.576
_cell_length_c 5.247
_cell_angle_alpha 90.00
_cell_angle_beta 90.00
_cell_angle_gamma 90.00
loop_
_atom_site_label
_atom_site_type_symbol
_atom_site_fract_x
_atom_site_fract_y
_atom_site_fract_z
_atom_site_occupancy
Y1 Y 0.000 0.000 0.000 1
C1 C 0.000 0.500 0.000 1
Pt1 Pt 0.000 0.000 0.500 1
Pt2 Pt 0.500 0.000 0.000 1
F1 F 0.500 0.500 0.500 1
# Formation energy (no corrections)   1.621 eV per atom
# Space group   P4/mmm, No. 123


(2)
# Pu2CF2, optimized geometry, DFT GGA-PBE
data_Pu2CF2
_symmetry_space_group_name_H-M 'P 1'
_symmetry_Int_Tables_number 1
_symmetry_space_group_name_Hall 'P 1'
_cell_length_a 3.489
_cell_length_b 3.489
_cell_length_c 8.614
_cell_angle_alpha 78.32
_cell_angle_beta 78.32
_cell_angle_gamma 60.00
loop_
_atom_site_label
_atom_site_type_symbol
_atom_site_fract_x
_atom_site_fract_y
_atom_site_fract_z
_atom_site_occupancy
Pu1 Pu 0.392 0.392 0.825 1
Pu2 Pu 0.608 0.608 0.175 1
C1 C 0.000 0.000 0.000 1
F1 F 0.886 0.886 0.342 1
F2 F 0.114 0.114 0.658 1
# Formation energy (no corrections)   -1.800 eV per atom
# Space group   R-3m, No. 166


(3)
# Pu2C2F, optimized geometry, DFT GGA-PBE
data_Pu2C2F
_symmetry_space_group_name_H-M 'P 1'
_symmetry_Int_Tables_number 1
_symmetry_space_group_name_Hall 'P 1'
_cell_length_a 4.020
_cell_length_b 6.214
_cell_length_c 7.191
_cell_angle_alpha 106.39
_cell_angle_beta 106.23
_cell_angle_gamma 90.00
loop_
_atom_site_label
_atom_site_type_symbol
_atom_site_fract_x
_atom_site_fract_y
_atom_site_fract_z
_atom_site_occupancy
Pu1 Pu 0.522 0.382 0.711 1
Pu2 Pu 0.190 0.882 0.711 1
Pu3 Pu 0.478 0.618 0.289 1
Pu4 Pu 0.810 0.118 0.289 1
C1 C 0.339 0.017 0.439 1
C2 C 0.900 0.483 0.561 1
C3 C 0.661 0.983 0.561 1
C4 C 0.100 0.517 0.439 1
F1 F 0.588 0.750 0.000 1
F2 F 0.412 0.250 0.000 1
# Formation energy (no corrections)   -0.931 eV per atom
# Space group   C2/c, No. 15


(4)
# Pu2CF, optimized geometry, DFT GGA-PBE
data_Pu2CF
_symmetry_space_group_name_H-M 'P 1'
_symmetry_Int_Tables_number 1
_symmetry_space_group_name_Hall 'P 1'
_cell_length_a 3.487
_cell_length_b 3.487
_cell_length_c 6.848
_cell_angle_alpha 75.25
_cell_angle_beta 75.25
_cell_angle_gamma 60.00
loop_
_atom_site_label
_atom_site_type_symbol
_atom_site_fract_x
_atom_site_fract_y
_atom_site_fract_z
_atom_site_occupancy
C1 C 0.000 0.000 0.000 1
F1 F 0.500 0.500 0.500 1
Pu1 Pu 0.262 0.262 0.215 1
Pu2 Pu 0.738 0.738 0.785 1
# Formation energy (no corrections)   -1.143 eV per atom
# Space group   R-3m, No. 166


(5)
# Rb3CF, optimized geometry, DFT GGA-PBE
data_Rb3CF
_symmetry_space_group_name_H-M 'P 1'
_symmetry_Int_Tables_number 1
_symmetry_space_group_name_Hall 'P 1'
_cell_length_a 5.450
_cell_length_b 5.450
_cell_length_c 5.450
_cell_angle_alpha 90.00
_cell_angle_beta 90.00
_cell_angle_gamma 90.00
loop_
_atom_site_label
_atom_site_type_symbol
_atom_site_fract_x
_atom_site_fract_y
_atom_site_fract_z
_atom_site_occupancy
C1 C 0.500 0.500 0.500 1
Rb1 Rb 0.000 0.500 0.000 1
Rb2 Rb 0.000 0.000 0.500 1
Rb3 Rb 0.500 0.000 0.000 1
F1 F 0.000 0.000 0.000 1
# Formation energy (no corrections)   -0.071 eV per atom
# Space group   Pm-3m, No. 221
# Energy above the lowest structure with this stoichiometry   0 meV per atom


(6)
# RbCF6, optimized geometry, DFT GGA-PBE
data_RbCF6
_symmetry_space_group_name_H-M 'P 1'
_symmetry_Int_Tables_number 1
_symmetry_space_group_name_Hall 'P 1'
_cell_length_a 5.314
_cell_length_b 5.314
_cell_length_c 5.663
_cell_angle_alpha 62.01
_cell_angle_beta 62.01
_cell_angle_gamma 60.00
loop_
_atom_site_label
_atom_site_type_symbol
_atom_site_fract_x
_atom_site_fract_y
_atom_site_fract_z
_atom_site_occupancy
Rb1 Rb 0.500 0.500 0.500 1
C1 C 0.000 0.000 0.000 1
F1 F 0.925 0.925 0.812 1
F2 F 0.339 0.925 0.812 1
F3 F 0.075 0.661 0.188 1
F4 F 0.661 0.075 0.188 1
F5 F 0.075 0.075 0.188 1
F6 F 0.925 0.339 0.812 1
# Formation energy (no corrections)   -1.312 eV per atom
# Space group   R-3m, No. 166


- The highest formation energy (no corrections) belongs to which entry?
  YPt2CF